VASP calculation (PBE) on Be4Tc3 after structural relaxation.

Lattice parameters (Å, degrees): 10.3426 10.3426 10.3426 164.70 164.70 21.70
Last column: nearest neighbours and their distance in Å.
Positions (direct):
Be1 0.8681 0.8681 0.0000  4 Be 2.24, 4 Tc 2.46
Be2 0.1319 0.1319 0.0000  4 Be 2.24, 4 Tc 2.46
Be3 0.5778 0.5778 0.0000  4 Be 2.24
Be4 0.4222 0.4222 0.0000  4 Be 2.24
Tc1 0.0000 0.0000 0.0000  10 Be 2.51-2.68, 4 Tc 2.75
Tc2 0.7063 0.7063 0.0000  5 Be 2.46-2.61, 8 Tc 2.64-2.75
Tc3 0.2937 0.2937 0.0000  5 Be 2.46-2.61, 8 Tc 2.64-2.75

Properties
Total energy in eV per atom: -6.62
Energy relative to the lowest polymorph listed for this composition in meV/atom: 0
Formation enthalpy at 0 K in kJ/mol of formula units: -31.6
DOS(E_F) in states/eV per cell: 4.2